Material: Li2CoSiO4
Method: DFT, PBE+U
State: relaxed

Summary:
**Distance to the lowest polymorph of the same formula**: 5 meV per atom
**M_tot**: 12.000 Bohr magnetons per cell
**SG**: Pna2_1, No. 33
**Calculated density**: 3.14 g/cm3

a = 5.106 Å, b = 6.329 Å, c = 10.799 Å
α = 90.00°, β = 90.00°, γ = 90.00°
Fractional positions:
Co (0.688, 0.118, 0.834)
Co (0.812, 0.118, 0.334)
Co (0.312, 0.618, 0.166)
Co (0.188, 0.618, 0.666)
Si (0.810, 0.369, 0.088)
Si (0.310, 0.869, 0.412)
Si (0.190, 0.869, 0.912)
Si (0.690, 0.369, 0.588)
Li (0.309, 0.121, 0.162)
Li (0.191, 0.121, 0.662)
Li (0.204, 0.370, 0.425)
Li (0.796, 0.870, 0.575)
Li (0.704, 0.870, 0.075)
Li (0.691, 0.621, 0.838)
Li (0.809, 0.621, 0.338)
Li (0.296, 0.370, 0.925)
O (0.201, 0.868, 0.556)
O (0.295, 0.083, 0.839)
O (0.365, 0.370, 0.590)
O (0.635, 0.870, 0.410)
O (0.205, 0.083, 0.339)
O (0.795, 0.583, 0.661)
O (0.701, 0.368, 0.944)
O (0.135, 0.370, 0.090)
O (0.296, 0.654, 0.840)
O (0.799, 0.368, 0.444)
O (0.704, 0.154, 0.160)
O (0.299, 0.868, 0.056)
O (0.796, 0.154, 0.660)
O (0.865, 0.870, 0.910)
O (0.204, 0.654, 0.340)
O (0.705, 0.583, 0.161)